[1]
Below is crystalline ScPa2CrN5 at its relaxed geometry, with properties calculated at the PBE level.

**E_tot**: -9.870 eV per atom

```
data_ScPa2CrN5
_space_group_name_H-M_alt 'P 1'
_space_group_IT_number 1
_cell_length_a 3.3034
_cell_length_b 6.7959
_cell_length_c 9.9486
_cell_angle_alpha 90.00
_cell_angle_beta 90.00
_cell_angle_gamma 104.07
loop_
_space_group_symop_operation_xyz
'x,y,z'
loop_
_atom_site_label
_atom_site_type_symbol
_atom_site_fract_x
_atom_site_fract_y
_atom_site_fract_z
N1 N 0.0426 0.0853 0.0497
Pa1 Pa 0.8571 0.7143 0.8041
N2 N 0.6314 0.2629 0.5015
N3 N 0.2834 0.5668 0.6669
N4 N 0.7166 0.4332 0.1669
N5 N 0.4867 0.9734 0.7813
Pa2 Pa 0.1117 0.2234 0.6863
Sc1 Sc 0.2043 0.4086 0.0054
Pa3 Pa 0.1429 0.2857 0.3041
N6 N 0.3686 0.7371 0.0015
N7 N 0.9574 0.9148 0.5497
Pa4 Pa 0.8883 0.7766 0.1863
N8 N 0.6771 0.3543 0.8628
Cr1 Cr 0.5236 0.0471 0.9659
N9 N 0.3229 0.6457 0.3628
N10 N 0.5133 0.0266 0.2813
Sc2 Sc 0.7957 0.5914 0.5054
Cr2 Cr 0.4764 0.9529 0.4659
```

=====

[2]
Below is crystalline DyGa5Ni2Pd at its relaxed geometry, with properties calculated at the PBE level.

**E_tot**: -4.366 eV per atom

```
data_DyGa5Ni2Pd
_space_group_name_H-M_alt 'P 1'
_space_group_IT_number 1
_cell_length_a 4.6554
_cell_length_b 4.6554
_cell_length_c 7.0219
_cell_angle_alpha 90.00
_cell_angle_beta 90.00
_cell_angle_gamma 90.00
loop_
_space_group_symop_operation_xyz
'x,y,z'
loop_
_atom_site_label
_atom_site_type_symbol
_atom_site_fract_x
_atom_site_fract_y
_atom_site_fract_z
Ni1 Ni 0.5000 0.5000 0.8252
Dy1 Dy 0.0000 0.0000 0.5000
Ga1 Ga 0.0000 0.5000 0.7984
Ni2 Ni 0.5000 0.5000 0.1748
Pd1 Pd 0.0000 0.0000 0.0000
Ga2 Ga 0.5000 0.0000 0.2016
Ga3 Ga 0.0000 0.5000 0.2016
Ga4 Ga 0.5000 0.5000 0.5000
Ga5 Ga 0.5000 0.0000 0.7984
```